# 1
# LiScSbO | Alexandria via LeMat-Bulk | PBE | relaxed
# E_form (uncorrected) ... -1.51 eV/atom
# Crystal system ... orthorhombic
data_LiScSbO
_cell_length_a 3.9704
_cell_length_b 4.2702
_cell_length_c 4.4596
_cell_angle_alpha 90.00
_cell_angle_beta 90.00
_cell_angle_gamma 90.00
_symmetry_space_group_name_H-M 'P m m m'
_symmetry_Int_Tables_number 47
_symmetry_space_group_name_Hall '-P 2 2'
loop_
_atom_site_label
_atom_site_type_symbol
_atom_site_fract_x
_atom_site_fract_y
_atom_site_fract_z
_atom_site_occupancy
Li1 Li 0.0000 0.0000 0.0000 1
Sc1 Sc 0.5000 0.5000 0.0000 1
Sb1 Sb 0.5000 0.0000 0.5000 1
O1 O 0.0000 0.5000 0.0000 1

=====

# 2
# Sr2Nd | Alexandria via LeMat-Bulk | PBE | relaxed
# ΔE to the lowest computed polymorph ... 0.000 eV/atom
# Crystal system ... monoclinic
# Formation enthalpy at 0 K ... 0.13 eV/atom
data_Sr2Nd
_cell_length_a 6.8923
_cell_length_b 3.9843
_cell_length_c 10.2015
_cell_angle_alpha 90.00
_cell_angle_beta 103.02
_cell_angle_gamma 90.00
_symmetry_space_group_name_H-M 'C 1 2/m 1'
_symmetry_Int_Tables_number 12
_symmetry_space_group_name_Hall '-C 2y'
loop_
_atom_site_label
_atom_site_type_symbol
_atom_site_fract_x
_atom_site_fract_y
_atom_site_fract_z
_atom_site_occupancy
Sr1 Sr 0.2271 0.0000 0.1787 1
Nd1 Nd 0.0000 0.0000 0.5000 1

=====

# 3
# RbDyTl2 | Alexandria via LeMat-Bulk | PBE | relaxed
# ΔE to the lowest computed polymorph ... 0.157 eV/atom
# Crystal system ... trigonal
# Formation enthalpy at 0 K ... -0.02 eV/atom
data_RbDyTl2
_cell_length_a 3.8042
_cell_length_b 3.8042
_cell_length_c 33.1814
_cell_angle_alpha 90.00
_cell_angle_beta 90.00
_cell_angle_gamma 120.00
_symmetry_space_group_name_H-M 'R -3 m'
_symmetry_Int_Tables_number 166
_symmetry_space_group_name_Hall '-R 3 2"'
loop_
_atom_site_label
_atom_site_type_symbol
_atom_site_fract_x
_atom_site_fract_y
_atom_site_fract_z
_atom_site_occupancy
Rb1 Rb 0.0000 0.0000 0.0000 1
Dy1 Dy 0.0000 0.0000 0.5000 1
Tl1 Tl 0.0000 0.0000 0.2405 1

=====

# 4
# CsPdRu2 | Alexandria via LeMat-Bulk | PBE | relaxed
# ΔE to the lowest computed polymorph ... 0.282 eV/atom
# Crystal system ... cubic
# Formation enthalpy at 0 K ... 1.56 eV/atom
data_CsPdRu2
_cell_length_a 6.7549
_cell_length_b 6.7549
_cell_length_c 6.7549
_cell_angle_alpha 90.00
_cell_angle_beta 90.00
_cell_angle_gamma 90.00
_symmetry_space_group_name_H-M 'F m -3 m'
_symmetry_Int_Tables_number 225
_symmetry_space_group_name_Hall '-F 4 2 3'
loop_
_atom_site_label
_atom_site_type_symbol
_atom_site_fract_x
_atom_site_fract_y
_atom_site_fract_z
_atom_site_occupancy
Cs1 Cs 0.0000 0.0000 0.0000 1
Pd1 Pd 0.0000 0.0000 0.5000 1
Ru1 Ru 0.2500 0.2500 0.2500 1

=====

# 5
# InGeSN2 | Alexandria via LeMat-Bulk | PBE | relaxed
# E_form (uncorrected) ... 1.38 eV/atom
# ΔE to the lowest computed polymorph ... 0.508 eV/atom
# Crystal system ... tetragonal
data_InGeSN2
_cell_length_a 4.2242
_cell_length_b 4.2242
_cell_length_c 5.3923
_cell_angle_alpha 90.00
_cell_angle_beta 90.00
_cell_angle_gamma 90.00
_symmetry_space_group_name_H-M 'P 4/m m m'
_symmetry_Int_Tables_number 123
_symmetry_space_group_name_Hall '-P 4 2'
loop_
_atom_site_label
_atom_site_type_symbol
_atom_site_fract_x
_atom_site_fract_y
_atom_site_fract_z
_atom_site_occupancy
In1 In 0.0000 0.0000 0.0000 1
Ge1 Ge 0.5000 0.5000 0.5000 1
S1 S 0.0000 0.0000 0.5000 1
N1 N 0.0000 0.5000 0.0000 1

=====

# 6
# CaPPtS2 | Alexandria via LeMat-Bulk | PBE | relaxed
# E_form (uncorrected) ... 1.10 eV/atom
# ΔE to the lowest computed polymorph ... 1.438 eV/atom
# Crystal system ... tetragonal
data_CaPPtS2
_cell_length_a 5.0303
_cell_length_b 5.0303
_cell_length_c 5.2149
_cell_angle_alpha 90.00
_cell_angle_beta 90.00
_cell_angle_gamma 90.00
_symmetry_space_group_name_H-M 'P 4/m m m'
_symmetry_Int_Tables_number 123
_symmetry_space_group_name_Hall '-P 4 2'
loop_
_atom_site_label
_atom_site_type_symbol
_atom_site_fract_x
_atom_site_fract_y
_atom_site_fract_z
_atom_site_occupancy
Ca1 Ca 0.0000 0.0000 0.0000 1
P1 P 0.0000 0.0000 0.5000 1
Pt1 Pt 0.5000 0.5000 0.5000 1
S1 S 0.0000 0.5000 0.0000 1

=====

# 7
# ThAg4Pb | Alexandria via LeMat-Bulk | PBE | relaxed
# Crystal system ... cubic
# Formation enthalpy at 0 K ... -0.04 eV/atom
data_ThAg4Pb
_cell_length_a 8.1079
_cell_length_b 8.1079
_cell_length_c 8.1079
_cell_angle_alpha 90.00
_cell_angle_beta 90.00
_cell_angle_gamma 90.00
_symmetry_space_group_name_H-M 'F -4 3 m'
_symmetry_Int_Tables_number 216
_symmetry_space_group_name_Hall 'F -4 2 3'
loop_
_atom_site_label
_atom_site_type_symbol
_atom_site_fract_x
_atom_site_fract_y
_atom_site_fract_z
_atom_site_occupancy
Th1 Th 0.0000 0.0000 0.0000 1
Ag1 Ag 0.1253 0.1253 0.6253 1
Pb1 Pb 0.2500 0.2500 0.2500 1

=====

# 8
# Rb2InAu | Alexandria via LeMat-Bulk | PBE | relaxed
# Crystal system ... tetragonal
# Formation enthalpy at 0 K ... -0.06 eV/atom
data_Rb2InAu
_cell_length_a 4.0414
_cell_length_b 4.0414
_cell_length_c 9.7796
_cell_angle_alpha 90.00
_cell_angle_beta 90.00
_cell_angle_gamma 90.00
_symmetry_space_group_name_H-M 'P 4/m m m'
_symmetry_Int_Tables_number 123
_symmetry_space_group_name_Hall '-P 4 2'
loop_
_atom_site_label
_atom_site_type_symbol
_atom_site_fract_x
_atom_site_fract_y
_atom_site_fract_z
_atom_site_occupancy
Rb1 Rb 0.0000 0.0000 0.2158 1
In1 In 0.5000 0.5000 0.5000 1
Au1 Au 0.5000 0.5000 0.0000 1

=====

# 9
# Ac2Ge3Ru2 | Alexandria via LeMat-Bulk | PBE | relaxed
# Crystal system ... monoclinic
# Formation enthalpy at 0 K ... -0.46 eV/atom
data_Ac2Ge3Ru2
_cell_length_a 11.2978
_cell_length_b 4.0746
_cell_length_c 7.6157
_cell_angle_alpha 90.00
_cell_angle_beta 118.42
_cell_angle_gamma 90.00
_symmetry_space_group_name_H-M 'C 1 2/m 1'
_symmetry_Int_Tables_number 12
_symmetry_space_group_name_Hall '-C 2y'
loop_
_atom_site_label
_atom_site_type_symbol
_atom_site_fract_x
_atom_site_fract_y
_atom_site_fract_z
_atom_site_occupancy
Ac1 Ac 0.1383 0.0000 0.2626 1
Ge1 Ge 0.0000 0.5000 0.5000 1
Ge2 Ge 0.1489 0.5000 0.9377 1
Ru1 Ru 0.1291 0.0000 0.7057 1

=====

# 10
# Rb3TlCl6 | Alexandria via LeMat-Bulk | PBE | relaxed
# E_form (uncorrected) ... -1.43 eV/atom
# Crystal system ... cubic
data_Rb3TlCl6
_cell_length_a 11.4126
_cell_length_b 11.4126
_cell_length_c 11.4126
_cell_angle_alpha 90.00
_cell_angle_beta 90.00
_cell_angle_gamma 90.00
_symmetry_space_group_name_H-M 'F m -3 m'
_symmetry_Int_Tables_number 225
_symmetry_space_group_name_Hall '-F 4 2 3'
loop_
_atom_site_label
_atom_site_type_symbol
_atom_site_fract_x
_atom_site_fract_y
_atom_site_fract_z
_atom_site_occupancy
Rb1 Rb 0.0000 0.0000 0.0000 1
Rb2 Rb 0.2500 0.2500 0.2500 1
Tl1 Tl 0.0000 0.0000 0.5000 1
Cl1 Cl 0.0000 0.0000 0.2708 1

=====

# 11
# Ba2Nb6Te2O21 | Alexandria via LeMat-Bulk | PBE | relaxed
# E_form (uncorrected) ... -2.38 eV/atom
# Crystal system ... monoclinic
data_Ba2Nb6Te2O21
_cell_length_a 16.9649
_cell_length_b 5.7824
_cell_length_c 9.8282
_cell_angle_alpha 90.00
_cell_angle_beta 96.85
_cell_angle_gamma 90.00
_symmetry_space_group_name_H-M 'C 1 2/m 1'
_symmetry_Int_Tables_number 12
_symmetry_space_group_name_Hall '-C 2y'
loop_
_atom_site_label
_atom_site_type_symbol
_atom_site_fract_x
_atom_site_fract_y
_atom_site_fract_z
_atom_site_occupancy
Ba1 Ba 0.1404 0.0000 0.0287 1
Nb1 Nb 0.0189 0.5000 0.1624 1
Nb2 Nb 0.0978 0.0000 0.4140 1
Nb3 Nb 0.1765 0.5000 0.6680 1
Te1 Te 0.2262 0.5000 0.2507 1
O1 O 0.0000 0.0000 0.5000 1
O2 O 0.0000 0.2777 0.0000 1
O3 O 0.0651 0.2408 0.2792 1
O4 O 0.0816 0.5000 0.7785 1
O5 O 0.1421 0.5000 0.1042 1
O6 O 0.1451 0.2491 0.5530 1
O7 O 0.2092 0.0000 0.3494 1
O8 O 0.2180 0.2404 0.8313 1

=====

no.,energy (Ry per atom)
1,-0.4295
2,-0.1897
3,-0.1906
4,-0.3370
5,-0.3120
6,-0.2385
7,-0.2793
8,-0.1506
9,-0.4606
10,-0.2253
11,-0.5893